## LaPu2RhN4 (PBE)

Data for an optimized crystal structure of LaPu2RhN4.

Cell: 3.4568 11.5918 11.7783 Å, 90.00 90.00 90.00°
Last column: nearest neighbours and their distance in Å.
Space group Cmcm (No. 63)
Symmetry-distinct sites (fractional):
La 0.0000 0.1053 0.2500 x4  2 N 2.52
Pu 0.0000 0.3699 0.0545 x8  6 N 2.23-2.47
Rh 0.0000 0.1561 0.7500 x4  4 N 2.10-2.14
N 0.0000 0.0000 0.0000 x4  4 Pu 2.38
N 0.0000 0.2644 0.6034 x8  1 Rh 2.14, 1 Pu 2.23
N 0.0000 0.4469 0.2500 x4  2 Rh 2.10

Values from the calculation:
The calculation puts the uncorrected formation energy at -0.9573 eV/atom. The total energy is -10.238 eV/atom.

=====

## Tb4CdCu2Rh (PBE)

Data for an optimized crystal structure of Tb4CdCu2Rh.

Cell: 5.0251 5.0251 24.5250 Å, 90.00 90.00 120.00°
Last column: nearest neighbours and their distance in Å.
Space group R-3m (No. 166, hexagonal axes)
Symmetry-distinct sites (fractional):
Tb 0.0000 0.0000 0.1170 x6  1 Rh 2.87, 4 Cu 2.97-3.07, 3 Cd 3.15
Tb 0.0000 0.0000 0.3688 x6  3 Rh 3.03, 4 Cu 3.11-3.21, 1 Cd 3.22, 3 Tb 3.38
Cd 0.0000 0.0000 0.5000 x3  8 Tb 3.15-3.22, 6 Cu 3.44
Cu 0.0000 0.0000 0.2421 x6  8 Tb 2.97-3.21
Rh 0.0000 0.0000 0.0000 x3  8 Tb 2.87-3.03

Values from the calculation:
The total energy is -4.785 eV/atom. The energy relative to the elements comes out at -0.413 eV per atom.

=====

## SrCdS2N (PBE)

Data for an optimized crystal structure of SrCdS2N.

Cell: 5.1636 5.1636 4.2919 Å, 90.00 90.00 90.00°
Last column: nearest neighbours and their distance in Å.
Space group P4/mmm (No. 123)
Symmetry-distinct sites (fractional):
Sr 0.0000 0.0000 0.0000 x1  8 S 3.36, 4 N 3.65
Cd 0.5000 0.5000 0.5000 x1  2 N 2.15
S 0.0000 0.5000 0.5000 x2  2 Cd 2.58
N 0.5000 0.5000 0.0000 x1  2 Cd 2.15

Values from the calculation:
The excess energy over the best structure of this formula in the dataset is 0 meV/atom. The calculation puts the uncorrected formation energy at 0.0038 eV/atom. The total energy is -3.832 eV/atom.

=====

no.,DOS(E_F) (states/eV per cell),V (A^3/atom)
1,52.32,14.75
2,12.72,22.35
3,1.97,22.89